[1]
Computed, not measured: a geometry-optimized Pm2Be4Ge3Ir structure at the PBE level of DFT.

The calculation puts the formation energy at -11.07 kcal/mol of atoms. The calculation puts the raw total energy at -51.92 eV/cell.

Cell and atoms, written as CIF:
```
data_Pm2Be4Ge3Ir
_chemical_formula_sum 'Pm2 Be4 Ge3 Ir1'
_symmetry_space_group_name_H-M 'P 1'
_symmetry_Int_Tables_number 1
_cell_length_a 3.9627
_cell_length_b 3.9627
_cell_length_c 9.9994
_cell_angle_alpha 90.00
_cell_angle_beta 90.00
_cell_angle_gamma 90.00
loop_
_symmetry_equiv_pos_as_xyz
'x,y,z'
loop_
_atom_site_label
_atom_site_type_symbol
_atom_site_fract_x
_atom_site_fract_y
_atom_site_fract_z
Pm1 Pm 0.0000 0.5000 0.2479
Pm2 Pm 0.5000 0.0000 0.7521
Be1 Be 0.0000 0.0000 0.0000
Be2 Be 0.0000 0.5000 0.6284
Be3 Be 0.5000 0.0000 0.3716
Be4 Be 0.5000 0.5000 0.0000
Ge1 Ge 0.0000 0.5000 0.8683
Ge2 Ge 0.5000 0.0000 0.1317
Ge3 Ge 0.5000 0.5000 0.5000
Ir1 Ir 0.0000 0.0000 0.5000
```

---

[2]
Computed, not measured: a geometry-optimized Pr2Ho2Au3 structure at the PBE level of DFT.

The calculation puts the formation energy at -14.51 kcal/mol of atoms. The calculation puts the raw total energy at -65.91 eV/cell.

Cell and atoms, written as CIF:
```
data_Pr2Ho2Au3
_chemical_formula_sum 'Pr4 Ho4 Au6'
_symmetry_space_group_name_H-M 'P 1'
_symmetry_Int_Tables_number 1
_cell_length_a 7.8700
_cell_length_b 7.8700
_cell_length_c 7.8700
_cell_angle_alpha 109.47
_cell_angle_beta 109.47
_cell_angle_gamma 109.47
loop_
_symmetry_equiv_pos_as_xyz
'x,y,z'
loop_
_atom_site_label
_atom_site_type_symbol
_atom_site_fract_x
_atom_site_fract_y
_atom_site_fract_z
Pr1 Pr 0.0000 0.1475 0.5000
Pr2 Pr 0.1475 0.5000 0.0000
Pr3 Pr 0.3525 0.3525 0.3525
Pr4 Pr 0.5000 0.0000 0.1475
Ho1 Ho 0.0000 0.6351 0.5000
Ho2 Ho 0.5000 0.0000 0.6351
Ho3 Ho 0.6351 0.5000 0.0000
Ho4 Ho 0.8649 0.8649 0.8649
Au1 Au 0.1067 0.8567 0.2500
Au2 Au 0.2500 0.1067 0.8567
Au3 Au 0.3933 0.6433 0.7500
Au4 Au 0.6433 0.7500 0.3933
Au5 Au 0.7500 0.3933 0.6433
Au6 Au 0.8567 0.2500 0.1067
```

---

[3]
Computed, not measured: a geometry-optimized CeYEr6 structure at the PBE level of DFT.

As for the energy above the most stable polymorph in this dataset: 4.18 kcal/mol of atoms. The calculation puts the formation energy at 5.25 kcal/mol of atoms. The calculation puts the raw total energy at -37.95 eV/cell.

Cell and atoms, written as CIF:
```
data_CeYEr6
_chemical_formula_sum 'Ce1 Y1 Er6'
_symmetry_space_group_name_H-M 'P 1'
_symmetry_Int_Tables_number 1
_cell_length_a 6.4504
_cell_length_b 6.7023
_cell_length_c 6.8142
_cell_angle_alpha 118.37
_cell_angle_beta 102.73
_cell_angle_gamma 90.91
loop_
_symmetry_equiv_pos_as_xyz
'x,y,z'
loop_
_atom_site_label
_atom_site_type_symbol
_atom_site_fract_x
_atom_site_fract_y
_atom_site_fract_z
Ce1 Ce 0.0000 0.0000 0.0000
Y1 Y 0.5000 0.0000 0.0000
Er1 Er 0.2285 0.9035 0.4752
Er2 Er 0.2491 0.4510 0.9995
Er3 Er 0.2661 0.4271 0.5192
Er4 Er 0.7339 0.5729 0.4808
Er5 Er 0.7509 0.5490 0.0005
Er6 Er 0.7715 0.0965 0.5248
```

---

[4]
Computed, not measured: a geometry-optimized V2CoRe4 structure at the PBE level of DFT.

The calculation puts the formation energy at 31.07 kcal/mol of atoms. The calculation puts the raw total energy at -65.70 eV/cell.

Cell and atoms, written as CIF:
```
data_V2CoRe4
_chemical_formula_sum 'V2 Co1 Re4'
_symmetry_space_group_name_H-M 'P 1'
_symmetry_Int_Tables_number 1
_cell_length_a 6.9094
_cell_length_b 6.9094
_cell_length_c 6.9094
_cell_angle_alpha 143.45
_cell_angle_beta 143.45
_cell_angle_gamma 52.64
loop_
_symmetry_equiv_pos_as_xyz
'x,y,z'
loop_
_atom_site_label
_atom_site_type_symbol
_atom_site_fract_x
_atom_site_fract_y
_atom_site_fract_z
V1 V 0.1237 0.1237 0.0000
V2 V 0.8763 0.8763 0.0000
Co1 Co 0.5000 0.5000 0.0000
Re1 Re 0.0000 0.5000 0.5000
Re2 Re 0.3088 0.3088 0.0000
Re3 Re 0.5000 0.0000 0.5000
Re4 Re 0.6912 0.6912 0.0000
```